A geometry-optimized AcTbPmSe3 structure. Source: Alexandria via LeMat-Bulk, functional PBE.

**Formation energy (no corrections)**: -9.98 eV per formula unit
**Raw total energy**: -67.8 eV/cell
**Total moment**: 0.098 μB per atom

CIF file:
```
data_AcTbPmSe3
_cell_length_a 8.253
_cell_length_b 4.230
_cell_length_c 10.493
_cell_angle_alpha 90.00
_cell_angle_beta 104.19
_cell_angle_gamma 90.00
_space_group_name_H-M_alt 'P 1 21/m 1'
_space_group_IT_number 11
loop_
_space_group_symop_operation_xyz
'x,y,z'
'-x,-y,-z'
'-x,y+1/2,-z'
'x,-y+1/2,z'
loop_
_atom_site_label
_atom_site_type_symbol
_atom_site_fract_x
_atom_site_fract_y
_atom_site_fract_z
_atom_site_occupancy
Ac1 Ac 0.190 0.250 0.214 1
Tb1 Tb 0.166 0.250 0.623 1
Pm1 Pm 0.337 0.750 0.907 1
Se1 Se 0.091 0.250 0.888 1
Se2 Se 0.200 0.750 0.446 1
Se3 Se 0.482 0.750 0.202 1
```


A geometry-optimized BaCeTe2O8 structure. Source: Alexandria via LeMat-Bulk, functional PBE.

**Formation energy (no corrections)**: -21.06 eV per formula unit
**Raw total energy**: -74.9 eV/cell
**Total moment**: 0.078 μB per atom

CIF file:
```
data_BaCeTe2O8
_cell_length_a 6.2354
_cell_length_b 6.2354
_cell_length_c 7.6468
_cell_angle_alpha 90.00
_cell_angle_beta 90.00
_cell_angle_gamma 120.00
_space_group_name_H-M_alt 'P -3 m 1'
_space_group_IT_number 164
_space_group_name_Hall '-P 3 2"'
loop_
_atom_site_label
_atom_site_type_symbol
_atom_site_fract_x
_atom_site_fract_y
_atom_site_fract_z
_atom_site_occupancy
Ba1 Ba 0.0000 0.0000 0.0000 1
Ce1 Ce 0.0000 0.0000 0.5000 1
Te1 Te 0.3333 0.6667 0.7542 1
O1 O 0.1566 0.3133 0.6967 1
O2 O 0.3333 0.6667 0.9944 1
```


A geometry-optimized Li3Pm2HoTe6 structure. Source: Alexandria via LeMat-Bulk, functional PBE.

**Formation energy (no corrections)**: -15.53 eV per formula unit
**Raw total energy**: -108.4 eV/cell
**Total moment**: 0.000 μB per atom

CIF file:
```
data_Li3Pm2HoTe6
_cell_length_a 7.622
_cell_length_b 13.203
_cell_length_c 7.518
_cell_angle_alpha 90.00
_cell_angle_beta 109.77
_cell_angle_gamma 90.00
_space_group_name_H-M_alt 'C 1 2/m 1'
_space_group_IT_number 12
loop_
_space_group_symop_operation_xyz
'x,y,z'
'-x,-y,-z'
'-x,y,-z'
'x,-y,z'
'x+1/2,y+1/2,z'
'-x+1/2,-y+1/2,-z'
'-x+1/2,y+1/2,-z'
'x+1/2,-y+1/2,z'
loop_
_atom_site_label
_atom_site_type_symbol
_atom_site_fract_x
_atom_site_fract_y
_atom_site_fract_z
_atom_site_occupancy
Li1 Li 0.000 0.000 0.000 1
Li2 Li 0.000 0.332 0.000 1
Pm1 Pm 0.000 0.167 0.500 1
Ho1 Ho 0.000 0.500 0.500 1
Te1 Te 0.240 0.500 0.242 1
Te2 Te 0.250 0.163 0.241 1
```


A geometry-optimized KPr2Hg6 structure. Source: Alexandria via LeMat-Bulk, functional PBE.

**Raw total energy**: -15.5 eV/cell
**Total moment**: 0.000 μB per atom
**ΔH_f (0 K)**: -332 meV per atom

CIF file:
```
data_KPr2Hg6
_cell_length_a 8.9574
_cell_length_b 8.9574
_cell_length_c 3.4960
_cell_angle_alpha 90.00
_cell_angle_beta 90.00
_cell_angle_gamma 120.00
_space_group_name_H-M_alt 'P 6/m m m'
_space_group_IT_number 191
_space_group_name_Hall '-P 6 2'
loop_
_atom_site_label
_atom_site_type_symbol
_atom_site_fract_x
_atom_site_fract_y
_atom_site_fract_z
_atom_site_occupancy
K1 K 0.0000 0.0000 0.0000 1
Pr1 Pr 0.3333 0.6667 0.0000 1
Hg1 Hg 0.0000 0.3353 0.5000 1
```


A geometry-optimized RbNaFe2I6 structure. Source: Alexandria via LeMat-Bulk, functional PBE.

**Formation energy (no corrections)**: -5.94 eV per formula unit
**Raw total energy**: -137.8 eV/cell
**Total moment**: 0.800 μB per atom

CIF file:
```
data_RbNaFe2I6
_cell_length_a 15.379
_cell_length_b 13.825
_cell_length_c 8.256
_cell_angle_alpha 90.00
_cell_angle_beta 107.02
_cell_angle_gamma 90.00
_space_group_name_H-M_alt 'C 1 2/c 1'
_space_group_IT_number 15
loop_
_space_group_symop_operation_xyz
'x,y,z'
'-x,-y,-z'
'-x,y,-z+1/2'
'x,-y,z+1/2'
'x+1/2,y+1/2,z'
'-x+1/2,-y+1/2,-z'
'-x+1/2,y+1/2,-z+1/2'
'x+1/2,-y+1/2,z+1/2'
loop_
_atom_site_label
_atom_site_type_symbol
_atom_site_fract_x
_atom_site_fract_y
_atom_site_fract_z
_atom_site_occupancy
Rb1 Rb 0.000 0.185 0.250 1
Na1 Na 0.000 0.401 0.750 1
Fe1 Fe 0.210 0.088 0.760 1
I1 I 0.113 0.417 0.147 1
I2 I 0.139 0.036 0.007 1
I3 I 0.150 0.260 0.666 1
```


A geometry-optimized Ac3MgAs2Pd9 structure. Source: Alexandria via LeMat-Bulk, functional PBE.

**Raw total energy**: -79.7 eV/cell
**Total moment**: 0.000 μB per atom
**ΔH_f (0 K)**: -652 meV per atom

CIF file:
```
data_Ac3MgAs2Pd9
_cell_length_a 6.3942
_cell_length_b 6.3942
_cell_length_c 9.9788
_cell_angle_alpha 90.00
_cell_angle_beta 90.00
_cell_angle_gamma 120.00
_space_group_name_H-M_alt 'P -3 m 1'
_space_group_IT_number 164
_space_group_name_Hall '-P 3 2"'
loop_
_atom_site_label
_atom_site_type_symbol
_atom_site_fract_x
_atom_site_fract_y
_atom_site_fract_z
_atom_site_occupancy
Ac1 Ac 0.0000 0.0000 0.0000 1
Ac2 Ac 0.3333 0.6667 0.7126 1
Mg1 Mg 0.0000 0.0000 0.5000 1
As1 As 0.3333 0.6667 0.1686 1
Pd1 Pd 0.0000 0.5000 0.0000 1
Pd2 Pd 0.1425 0.2850 0.2840 1
```